Compound: DyGa4CuRh2
Source: the Alexandria database
Functional: PBE
Structure: relaxed

abc: 8.8111 8.8111 8.8111
angles: 27.97 27.97 27.97
Element x y z (fractional)
Dy  0.0000  0.0000  0.0000
Ga  0.1302  0.1302  0.1302
Ga  0.3985  0.3985  0.3985
Ga  0.6015  0.6015  0.6015
Ga  0.8698  0.8698  0.8698
Cu  0.5000  0.5000  0.5000
Rh  0.2334  0.2334  0.2334
Rh  0.7666  0.7666  0.7666

Values from the calculation:
D(E_F): 0.510 states/eV per atom
formation energy: -4.2 eV/f.u.
size of the total moment: 0.00 μB/f.u.
calculated density: 8880 kg/m³